VASP calculation (PBE) on crystalline Hf2BiSb2 at its relaxed geometry.

Calculated values
Symmetry: No. 11
Uncorrected formation energy (meV/atom): -241
Size of the total moment (μB/f.u.): 0.0
Polymorph energy (0 for the lowest one) (meV/atom): 72

Lattice parameters (Å, degrees): 5.8589 3.9435 11.5117 90.00 98.86 90.00
Positions (direct):
Hf1 0.0757 0.2500 0.2354
Hf2 0.1870 0.2500 0.5807
Hf3 0.8130 0.7500 0.4193
Hf4 0.9243 0.7500 0.7646
Bi1 0.2092 0.7500 0.0404
Bi2 0.7908 0.2500 0.9596
Sb1 0.3018 0.7500 0.4060
Sb2 0.4020 0.7500 0.7611
Sb3 0.5980 0.2500 0.2389
Sb4 0.6982 0.2500 0.5940